[1]
# LiTb4PmSe8

Crystalline LiTb4PmSe8 at its relaxed geometry (GGA-PBE, Alexandria).

a b c (Å): 8.4083 8.4083 20.7966
angles (deg): 90.00 90.00 120.00
Space group R3m (No. 160, hexagonal axes)
Inequivalent atoms, fractional coordinates:
Li1 0.0000 0.0000 0.0000 [3 per cell]
Tb1 0.0000 0.0000 0.2512 [3 per cell]
Tb2 0.1734 0.3469 0.4569 [9 per cell]
Pm1 0.0000 0.0000 0.6298 [3 per cell]
Se1 0.0000 0.0000 0.3841 [3 per cell]
Se2 0.0000 0.0000 0.8694 [3 per cell]
Se3 0.0114 0.5057 0.3786 [9 per cell]
Se4 0.1761 0.3522 0.2040 [9 per cell]

Calculated values
formation energy from raw total energies: -1777 meV/atom
DOS at the Fermi energy: 0.0000 states/eV per atom
calculated volume: 30.317 Å³ per atom
calculated total energy: -5.567 eV per atom

---

[2]
# RbTbMgS3

Crystalline RbTbMgS3 at its relaxed geometry (GGA-PBE, Alexandria).

a b c (Å): 9.0214 4.1374 9.9138
angles (deg): 90.00 108.47 90.00
Space group P2_1/m (No. 11)
Inequivalent atoms, fractional coordinates:
Rb1 0.2091 0.2500 0.2267 [2 per cell]
Tb1 0.3336 0.7500 0.8656 [2 per cell]
Mg1 0.0848 0.2500 0.6104 [2 per cell]
S1 0.1237 0.2500 0.8609 [2 per cell]
S2 0.1933 0.7500 0.5467 [2 per cell]
S3 0.4684 0.7500 0.1497 [2 per cell]

Calculated values
formation energy from raw total energies: -1671 meV/atom
DOS at the Fermi energy: 0.0000 states/eV per atom
calculated volume: 29.248 Å³ per atom
calculated total energy: -4.934 eV per atom

---

[3]
# KTaSi

Crystalline KTaSi at its relaxed geometry (GGA-PBE, Alexandria).

a b c (Å): 3.8501 4.2369 15.7754
angles (deg): 90.00 90.00 90.00
Space group Fmm2 (No. 42)
Inequivalent atoms, fractional coordinates:
K1 0.0000 0.0000 0.0000 [4 per cell]
Ta1 0.0000 0.0000 0.2900 [4 per cell]
Si1 0.0000 0.0000 0.6681 [4 per cell]

Calculated values
formation energy from raw total energies: 466 meV/atom
DOS at the Fermi energy: 0.0248 states/eV per atom
calculated volume: 21.445 Å³ per atom
polymorph energy (0 for the lowest one): 0.050 eV/atom
calculated total energy: -5.658 eV per atom

---

[4]
# BaAlAs2

Crystalline BaAlAs2 at its relaxed geometry (GGA-PBE, Alexandria).

a b c (Å): 4.3248 3.9105 14.3795
angles (deg): 90.00 90.00 90.00
Space group Amm2 (No. 38)
Inequivalent atoms, fractional coordinates:
Ba1 0.0000 0.0000 0.0000 [2 per cell]
Al1 0.5000 0.0000 0.7888 [2 per cell]
As1 0.0000 0.0000 0.6965 [2 per cell]
As2 0.5000 0.0000 0.3963 [2 per cell]

Calculated values
DOS at the Fermi energy: 0.6952 states/eV per atom
energy of formation: -0.57 eV per atom
calculated volume: 30.398 Å³ per atom
calculated total energy: -4.313 eV per atom

---

[5]
# Sr2TlZn3Ga4

Crystalline Sr2TlZn3Ga4 at its relaxed geometry (GGA-PBE, Alexandria).

a b c (Å): 4.4691 4.4691 11.1308
angles (deg): 90.00 90.00 90.00
Space group P-4m2 (No. 115)
Inequivalent atoms, fractional coordinates:
Sr1 0.0000 0.5000 0.2399 [2 per cell]
Tl1 0.0000 0.0000 0.5000 [1 per cell]
Zn1 0.0000 0.5000 0.8749 [2 per cell]
Zn2 0.5000 0.5000 0.5000 [1 per cell]
Ga1 0.0000 0.0000 0.0000 [1 per cell]
Ga2 0.0000 0.5000 0.6499 [2 per cell]
Ga3 0.5000 0.5000 0.0000 [1 per cell]

Calculated values
DOS at the Fermi energy: 0.4418 states/eV per atom
energy of formation: -0.31 eV per atom
calculated volume: 22.231 Å³ per atom
calculated total energy: -2.473 eV per atom

---

[6]
# Zr2TePd2

Crystalline Zr2TePd2 at its relaxed geometry (GGA-PBE, Alexandria).

a b c (Å): 7.6088 7.6088 3.6588
angles (deg): 90.00 90.00 90.00
Space group P4/mbm (No. 127)
Inequivalent atoms, fractional coordinates:
Zr1 0.1594 0.3406 0.0000 [4 per cell]
Te1 0.0000 0.0000 0.0000 [2 per cell]
Pd1 0.1290 0.6290 0.5000 [4 per cell]

Calculated values
formation energy from raw total energies: -523 meV/atom
DOS at the Fermi energy: 0.8091 states/eV per atom
calculated volume: 21.183 Å³ per atom
polymorph energy (0 for the lowest one): 0.053 eV/atom
calculated total energy: -6.648 eV per atom

---

[7]
# Tb4Nd3Sc

Crystalline Tb4Nd3Sc at its relaxed geometry (GGA-PBE, Alexandria).

a b c (Å): 11.4203 7.2782 6.2675
angles (deg): 90.00 90.00 90.00
Space group Pmn2_1 (No. 31)
Inequivalent atoms, fractional coordinates:
Tb1 0.0000 0.1244 0.0000 [2 per cell]
Tb2 0.0000 0.8749 0.5053 [2 per cell]
Tb3 0.2443 0.1252 0.3394 [4 per cell]
Nd1 0.0000 0.6260 0.0016 [2 per cell]
Nd2 0.2502 0.3770 0.8329 [4 per cell]
Sc1 0.0000 0.3712 0.4990 [2 per cell]

Calculated values
DOS at the Fermi energy: 1.7360 states/eV per atom
energy of formation: 0.04 eV per atom
calculated volume: 32.559 Å³ per atom
polymorph energy (0 for the lowest one): 0.000 eV/atom
calculated total energy: -4.859 eV per atom

---

[8]
# PmSbAu3

Crystalline PmSbAu3 at its relaxed geometry (GGA-PBE, Alexandria).

a b c (Å): 6.1458 6.6985 6.1924
angles (deg): 90.00 113.12 90.00
Space group P2_1/m (No. 11)
Inequivalent atoms, fractional coordinates:
Pm1 0.1945 0.2500 0.2755 [2 per cell]
Sb1 0.3575 0.7500 0.1373 [2 per cell]
Au1 0.0118 0.7500 0.2925 [2 per cell]
Au2 0.3118 0.5417 0.7042 [4 per cell]

Calculated values
formation energy from raw total energies: -519 meV/atom
DOS at the Fermi energy: 0.2191 states/eV per atom
calculated volume: 23.446 Å³ per atom
polymorph energy (0 for the lowest one): 0.006 eV/atom
calculated total energy: -4.260 eV per atom

---

What did the fifth record say?
# Sr2TlZn3Ga4

Crystalline Sr2TlZn3Ga4 at its relaxed geometry (GGA-PBE, Alexandria).

a b c (Å): 4.4691 4.4691 11.1308
angles (deg): 90.00 90.00 90.00
Space group P-4m2 (No. 115)
Inequivalent atoms, fractional coordinates:
Sr1 0.0000 0.5000 0.2399 [2 per cell]
Tl1 0.0000 0.0000 0.5000 [1 per cell]
Zn1 0.0000 0.5000 0.8749 [2 per cell]
Zn2 0.5000 0.5000 0.5000 [1 per cell]
Ga1 0.0000 0.0000 0.0000 [1 per cell]
Ga2 0.0000 0.5000 0.6499 [2 per cell]
Ga3 0.5000 0.5000 0.0000 [1 per cell]

Calculated values
DOS at the Fermi energy: 0.4418 states/eV per atom
energy of formation: -0.31 eV per atom
calculated volume: 22.231 Å³ per atom
calculated total energy: -2.473 eV per atom